VASP calculation (PBE+U) on crystalline Fe3Br2O2 at its relaxed geometry. Values from VASP.

Properties
- density of states at the Fermi level (states/eV/atom) = 0.000
- total magnetization (μB/f.u.) = 12.0
- VASP energy (eV per atom) = -5.42
- SG = P-1
- density (kg/m³) = 4682

```
&SYSTEM
  ibrav = 0, nat = 7, ntyp = 3
/
ATOMIC_SPECIES
Br 79.90 Br.upf
O 16.00 O.upf
Fe 55.84 Fe.upf
ATOMIC_POSITIONS angstrom
Br 0.619 0.951 4.508
O 1.963 3.519 1.985
Fe 0.791 2.778 6.636
Fe 3.956 3.093 2.027
Br 4.128 4.920 4.155
O 2.784 2.352 6.679
Fe 0.000 0.000 0.000
CELL_PARAMETERS angstrom
3.793 0.306 -0.571
1.901 5.438 2.620
-0.946 0.127 6.614
```